No. 1
A plane-wave DFT calculation with PBE-GGA was carried out for YTi3Hg after structural relaxation.

Results
calculated density	5.5	g cm⁻³
ΔE_f	0.8570	eV per atom
uncorrected energy	-26.17	eV per cell
relative energy among the computed polymorphs	0.0	meV per atom

abc: 5.074 5.074 5.074
angles: 90.00 90.00 90.00
Sites, in units of the cell vectors:
Y 0.000 0.000 0.000
Ti 0.000 0.500 0.500
Ti 0.500 0.000 0.500
Ti 0.500 0.500 0.000
Hg 0.500 0.500 0.500


No. 2
A plane-wave DFT calculation with PBE-GGA was carried out for NdY15Sc4 after structural relaxation.

Results
calculated density	4.5	g cm⁻³
ΔE_f	0.0450	eV per atom
uncorrected energy	-126.15	eV per cell

abc: 4.976 4.976 24.846
angles: 90.00 90.00 90.00
Sites, in units of the cell vectors:
Nd 0.000 0.000 0.000
Y 0.000 0.500 0.105
Y 0.000 0.500 0.302
Y 0.000 0.500 0.500
Y 0.000 0.500 0.698
Y 0.000 0.500 0.895
Y 0.500 0.000 0.105
Y 0.500 0.000 0.302
Y 0.500 0.000 0.500
Y 0.500 0.000 0.698
Y 0.500 0.000 0.895
Y 0.500 0.500 0.000
Y 0.500 0.500 0.204
Y 0.500 0.500 0.401
Y 0.500 0.500 0.599
Y 0.500 0.500 0.796
Sc 0.000 0.000 0.203
Sc 0.000 0.000 0.401
Sc 0.000 0.000 0.599
Sc 0.000 0.000 0.797


No. 3
A plane-wave DFT calculation with PBE-GGA was carried out for ScCuC after structural relaxation.

Results
calculated density	5.1	g cm⁻³
ΔE_f	-0.0442	eV per atom
uncorrected energy	-39.57	eV per cell

abc: 4.484 5.121 5.121
angles: 41.46 90.00 90.00
Sites, in units of the cell vectors:
Sc 0.000 0.000 0.000
Sc 0.500 0.295 0.295
Cu 0.000 0.714 0.714
Cu 0.500 0.561 0.561
C 0.000 0.256 0.256
C 0.500 0.962 0.962


No. 4
A plane-wave DFT calculation with PBE-GGA was carried out for Ca5Sn2H after structural relaxation.

Results
calculated density	3.1	g cm⁻³
uncorrected energy	-24.60	eV per cell

abc: 6.837 6.837 6.837
angles: 117.29 117.29 94.76
Sites, in units of the cell vectors:
Ca 0.000 0.000 0.000
Ca 0.501 0.501 0.507
Ca 0.501 0.994 0.000
Ca 0.994 0.501 0.000
Ca 0.994 0.994 0.493
Sn 0.497 0.997 0.500
Sn 0.997 0.497 0.500
H 0.761 0.761 0.000


No. 5
A plane-wave DFT calculation with PBE-GGA was carried out for SrMg2Tl6 after structural relaxation.

Results
calculated density	8.5	g cm⁻³
ΔE_f	-0.0396	eV per atom
uncorrected energy	-19.42	eV per cell
relative energy among the computed polymorphs	0.0	meV per atom

abc: 9.484 9.484 9.484
angles: 158.24 122.32 62.40
Sites, in units of the cell vectors:
Sr 0.000 0.000 0.000
Mg 0.356 0.856 0.500
Mg 0.644 0.144 0.500
Tl 0.000 0.323 0.677
Tl 0.000 0.677 0.323
Tl 0.332 0.500 0.832
Tl 0.354 0.677 0.677
Tl 0.646 0.323 0.323
Tl 0.668 0.500 0.168


No. 6
A plane-wave DFT calculation with PBE-GGA was carried out for Nd2NpAgSe5 after structural relaxation.

Results
calculated density	7.4	g cm⁻³
uncorrected energy	-109.37	eV per cell
formation energy without anion corrections	-11.94	eV/f.u.

abc: 8.982 8.982 12.616
angles: 90.00 90.00 153.19
Sites, in units of the cell vectors:
Nd 0.112 0.888 0.500
Nd 0.126 0.874 0.119
Nd 0.874 0.126 0.619
Nd 0.888 0.112 0.000
Np 0.197 0.803 0.822
Np 0.803 0.197 0.322
Ag 0.450 0.550 0.272
Ag 0.550 0.450 0.772
Se 0.046 0.954 0.892
Se 0.288 0.712 0.481
Se 0.306 0.694 0.158
Se 0.363 0.637 0.815
Se 0.497 0.503 0.583
Se 0.503 0.497 0.083
Se 0.637 0.363 0.315
Se 0.694 0.306 0.658
Se 0.712 0.288 0.981
Se 0.954 0.046 0.392